{"formula": "ZnInMoF6", "functional": "PBE with a Hubbard U", "state": "optimized geometry", "dos_at_fermi_per_ev_cell": 0.00, "sg": "P312 (149)", "total_energy_ev_per_atom": -4.771, "lattice_angstrom": [[-5.639, -0.175, 0.055], [-2.660, -4.753, 1.465], [0.000, 1.717, 5.574]], "species": ["Zn", "In", "Mo", "F", "F", "F", "F", "F", "F"], "fractional_positions": [[0.333, 0.333, 0.500], [0.000, 0.000, 0.000], [0.667, 0.667, 0.500], [0.003, 0.368, 0.311], [0.368, 0.003, 0.689], [0.629, 0.368, 0.689], [0.003, 0.629, 0.689], [0.368, 0.629, 0.311], [0.629, 0.003, 0.311]]}